(1)
Material: ScMn2Hg
Method: DFT, PBE-GGA
State: relaxed

Results
E_form = 0.17 eV per atom
total moment = 0.00 μB per cell
calculated volume = 17.87 Å³ per atom
E_tot = -6.07 eV per atom

abc: 3.6720 3.6720 18.3635
angles: 90.00 90.00 120.00
Closest atoms and distances in Å follow each position.
Space group R3m (No. 160, hexagonal axes)
Asymmetric unit:
Sc  0.0000  0.0000  0.0000 x3  6 Mn 2.80-2.95, 3 Hg 3.05
Mn  0.0000  0.0000  0.2336 x3  3 Mn 2.13
Mn  0.0000  0.0000  0.5549 x3  3 Mn 2.13
Hg  0.0000  0.0000  0.7859 x3  6 Mn 2.83-2.98, 3 Sc 3.05

***

(2)
Material: SmDyRuAu
Method: DFT, PBE-GGA
State: relaxed

Results
E_form = -0.52 eV per atom
total moment = 0.00 μB per cell
calculated volume = 22.14 Å³ per atom
E_tot = -5.99 eV per atom

abc: 7.0758 7.0758 7.0758
angles: 90.00 90.00 90.00
Closest atoms and distances in Å follow each position.
Space group F-43m (No. 216)
Asymmetric unit:
Sm  0.0000  0.0000  0.0000 x4  4 Au 3.06, 4 Ru 3.06
Dy  0.0000  0.0000  0.5000 x4  4 Ru 3.06, 4 Au 3.06
Ru  0.2500  0.2500  0.2500 x4  4 Sm 3.06, 4 Dy 3.06
Au  0.2500  0.2500  0.7500 x4  4 Dy 3.06, 4 Sm 3.06

***

(3)
Material: SiSnP
Method: DFT, PBE-GGA
State: relaxed

Results
uncorrected formation energy = -0.012 eV per atom
total moment = 0.00 μB per cell
calculated volume = 21.83 Å³ per atom
E_tot = -4.96 eV per atom

abc: 3.4302 3.4900 12.6652
angles: 87.43 82.77 60.58
Closest atoms and distances in Å follow each position.
Space group P-1 (No. 2)
Asymmetric unit:
Si  0.1443  0.1268  0.0771 x2  3 P 2.29-2.30
Sn  0.3156  0.4980  0.3790 x2  1 P 2.67
P  0.4282  0.4769  0.1662 x2  3 Si 2.29-2.30

***

(4)
Material: AcAlTe3
Method: DFT, PBE-GGA
State: relaxed

Results
uncorrected formation energy = -0.977 eV per atom
total moment = 0.00 μB per cell
calculated volume = 35.44 Å³ per atom
E_tot = -4.43 eV per atom

abc: 14.0157 10.0979 5.0091
angles: 90.00 91.11 90.00
Closest atoms and distances in Å follow each position.
Space group C2/m (No. 12)
Asymmetric unit:
Ac  0.2312  0.0000  0.2605 x4  8 Te 3.40-3.54
Al  0.0000  0.3180  0.5000 x4  4 Te 2.61-2.67
Te  0.1010  0.5000  0.2411 x4  2 Al 2.67
Te  0.1402  0.1989  0.7546 x8  1 Al 2.61

***

(5)
Material: YPSe
Method: DFT, PBE-GGA
State: relaxed

Results
uncorrected formation energy = -1.157 eV per atom
total moment = 0.00 μB per cell
calculated volume = 27.40 Å³ per atom
E_tot = -6.28 eV per atom

abc: 3.8316 14.9187 5.7517
angles: 90.00 90.00 90.00
Closest atoms and distances in Å follow each position.
Space group Imm2 (No. 44)
Asymmetric unit:
Y  0.0000  0.1669  0.0000 x4  1 P 2.76, 4 Se 2.79-2.96
P  0.0000  0.0000  0.7912 x2  2 P 2.37
P  0.0000  0.5000  0.5325 x2  2 P 2.37
Se  0.0000  0.1970  0.4922 x4  4 Y 2.79-2.96

***

(6)
Material: ZrPt2Cl
Method: DFT, PBE-GGA
State: relaxed

Results
uncorrected formation energy = -0.501 eV per atom
total moment = 0.00 μB per cell
calculated volume = 19.87 Å³ per atom
E_tot = -6.12 eV per atom

abc: 7.7653 7.7653 5.2713
angles: 90.00 90.00 90.00
Closest atoms and distances in Å follow each position.
Space group I-42d (No. 122)
Asymmetric unit:
Zr  0.0000  0.0000  0.0000 x4  2 Cl 2.64, 4 Pt 2.71
Pt  0.2273  0.2500  0.1250 x8  2 Pt 2.66, 2 Zr 2.71, 2 Cl 2.95
Cl  0.0000  0.0000  0.5000 x4  2 Zr 2.64, 4 Pt 2.95